A crystal of CdSi2Tc relaxed with PBEsol. Source: Alexandria, functional meta-GGA SCAN.

```
CdSi2Tc
1.0
2.853 0.025 0.000
-0.942 2.693 0.000
0.000 0.000 8.372
Si Tc Cd
2 1 1
Direct
0.000 0.000 0.710
0.000 0.000 0.290
0.500 0.500 0.500
0.500 0.500 0.000
```

* E_tot: -21.084 eV/atom
* space-group type: Cmmm

A crystal of CaAs2Ir relaxed with PBEsol. Source: Alexandria, functional meta-GGA SCAN.

```
CaAs2Ir
1.0
-2.977 -0.388 -1.549
-2.258 -2.202 1.208
-4.976 5.044 4.614
Ca As Ir
1 2 1
Direct
0.504 0.504 0.489
0.988 0.988 0.037
0.744 0.744 0.767
0.264 0.264 0.208
```

* space-group type: R3m
* energy of formation from the pure elements: -0.053 eV/atom

A crystal of YBe2In relaxed with PBEsol. Source: Alexandria, functional meta-GGA SCAN.

```
YBe2In
1.0
-3.651 2.045 -1.306
-0.484 -2.926 -3.229
-2.367 -4.306 7.233
In Be Y
2 4 2
Direct
0.250 0.750 0.500
0.000 0.000 0.000
0.125 0.875 0.250
0.625 0.875 0.750
0.125 0.875 0.750
0.125 0.375 0.250
0.750 0.250 0.500
0.500 0.500 0.000
```

* space-group type: I4_1/amd
* energy of formation from the pure elements: 0.117 eV/atom

A crystal of ZrTe2Ir relaxed with PBEsol. Source: Alexandria, functional meta-GGA SCAN.

```
ZrTe2Ir
1.0
-0.162 -1.936 -3.090
2.981 -1.847 1.001
-4.764 -3.662 2.544
Zr Te Ir
1 2 1
Direct
0.500 0.500 0.500
0.000 0.874 0.247
0.000 0.126 0.753
0.500 0.500 0.000
```

* energy relative to the lowest polymorph listed for this composition: 456 meV/atom
* space-group type: P2/m

A crystal of Zr2CuHg relaxed with PBEsol. Source: Alexandria, functional meta-GGA SCAN.

```
Zr2CuHg
1.0
3.098 0.000 0.000
1.549 2.683 0.000
1.549 0.894 9.356
Zr Hg Cu
2 1 1
Direct
0.757 0.757 0.728
0.243 0.243 0.272
0.000 0.000 0.000
0.500 0.500 0.500
```

* space-group type: R-3m
* energy of formation from the pure elements: 0.021 eV/atom

A crystal of LiH4SNO4 relaxed with PBEsol. Source: Alexandria, functional meta-GGA SCAN.

```
LiH4SNO4
1.0
4.900 0.000 0.000
0.000 10.278 0.000
0.000 0.000 16.846
O H S N Li
32 32 8 8 8
Direct
0.581 0.048 0.035
0.021 0.415 0.908
0.449 0.529 0.178
0.551 0.029 0.178
0.952 0.720 0.825
0.650 0.259 0.908
0.581 0.452 0.535
0.979 0.915 0.908
0.419 0.952 0.535
0.849 0.491 0.096
0.048 0.220 0.825
0.021 0.085 0.408
0.081 0.201 0.969
0.479 0.165 0.596
0.650 0.241 0.408
0.350 0.741 0.408
0.919 0.701 0.969
0.151 0.509 0.596
0.919 0.799 0.469
0.151 0.991 0.096
0.979 0.585 0.408
0.849 0.009 0.596
0.081 0.299 0.469
0.350 0.759 0.908
0.551 0.471 0.678
0.419 0.548 0.035
0.521 0.665 0.596
0.521 0.835 0.096
0.048 0.280 0.325
0.479 0.335 0.096
0.449 0.971 0.678
0.952 0.780 0.325
0.195 0.743 0.645
0.519 0.511 0.775
0.002 0.761 0.729
0.805 0.243 0.645
0.027 0.369 0.651
0.148 0.216 0.642
0.352 0.034 0.360
0.148 0.284 0.142
0.648 0.534 0.360
0.695 0.008 0.361
0.805 0.257 0.145
0.973 0.631 0.151
0.475 0.881 0.353
0.481 0.011 0.775
0.195 0.757 0.145
0.998 0.261 0.729
0.648 0.966 0.860
0.475 0.619 0.853
0.852 0.784 0.142
0.519 0.989 0.275
0.481 0.489 0.275
0.027 0.131 0.151
0.352 0.466 0.860
0.305 0.992 0.861
0.973 0.869 0.651
0.998 0.239 0.229
0.695 0.492 0.861
0.525 0.119 0.853
0.852 0.716 0.642
0.305 0.508 0.361
0.525 0.381 0.353
0.002 0.739 0.229
0.547 0.024 0.602
0.453 0.524 0.602
0.048 0.773 0.901
0.453 0.976 0.102
0.547 0.476 0.102
0.048 0.727 0.401
0.952 0.227 0.401
0.952 0.273 0.901
0.490 0.022 0.837
0.007 0.728 0.167
0.993 0.228 0.167
0.510 0.522 0.837
0.007 0.772 0.667
0.490 0.478 0.337
0.993 0.272 0.667
0.510 0.978 0.337
0.045 0.973 0.500
0.545 0.722 0.004
0.455 0.278 0.504
0.955 0.027 0.000
0.045 0.527 0.000
0.545 0.778 0.504
0.455 0.222 0.004
0.955 0.473 0.500
```

* energy relative to the lowest polymorph listed for this composition: 0 meV/atom
* space-group type: Pca2_1

A crystal of ZrFeOs relaxed with PBEsol. Source: Alexandria, functional meta-GGA SCAN.

```
ZrFeOs
1.0
4.286 0.000 0.000
2.143 3.712 0.000
2.143 1.237 3.499
Zr Os Fe
1 1 1
Direct
0.000 0.000 0.000
0.250 0.250 0.250
0.500 0.500 0.500
```

* space-group type: F-43m
* energy of formation from the pure elements: 0.213 eV/atom

A crystal of Ag3As relaxed with PBEsol. Source: Alexandria, functional meta-GGA SCAN.

```
Ag3As
1.0
-3.276 1.717 1.692
0.194 -2.658 3.073
6.389 5.628 1.772
Ag As
6 2
Direct
0.500 0.000 0.000
0.124 0.124 0.247
0.250 0.750 0.500
0.750 0.250 0.500
0.000 0.500 0.000
0.876 0.876 0.753
0.627 0.627 0.255
0.373 0.373 0.745
```

* space-group type: I4/mmm
* energy of formation from the pure elements: 0.075 eV/atom

no.,Fermi-level density of states (states/eV/cell)
1,1.99
2,1.19
3,2.05
4,2.97
5,4.27
6,0.00
7,3.09
8,1.95